RbPdBr | GGA-PBE | relaxed

Lattice parameters (Å, degrees): 4.844 5.702 7.136 90.00 90.12 90.00
Atoms (fractional coordinates):
Rb 0.001 0.250 0.271
Rb 0.999 0.750 0.729
Pd 0.500 0.000 0.000
Pd 0.500 0.500 0.000
Br 0.500 0.250 0.710
Br 0.500 0.750 0.290

Output
- E_form (uncorrected): -708 meV/atom
- D(E_F): 0.000 states/eV/cell
- Symmetry: P2_1/m (11)
- Offset from the most stable computed form: 13.1 meV per atom

=====

Cs2GaAuBr6 | GGA-PBE | relaxed

Lattice parameters (Å, degrees): 7.947 7.947 7.947 118.57 118.57 92.50
Atoms (fractional coordinates):
Cs 0.250 0.750 0.500
Cs 0.750 0.250 0.500
Ga 0.000 0.000 0.000
Au 0.500 0.500 0.000
Br 0.217 0.217 0.434
Br 0.217 0.783 0.000
Br 0.275 0.275 0.000
Br 0.725 0.725 0.000
Br 0.783 0.217 0.000
Br 0.783 0.783 0.566

Output
- E_form (uncorrected): -1033 meV/atom
- D(E_F): 0.000 states/eV/cell
- Symmetry: I4/mmm (139)

=====

Ni4Pd5 | GGA-PBE | relaxed

Lattice parameters (Å, degrees): 6.995 6.995 6.995 157.60 108.67 75.84
Atoms (fractional coordinates):
Ni 0.005 0.832 0.174
Ni 0.342 0.168 0.174
Ni 0.658 0.832 0.826
Ni 0.995 0.168 0.826
Pd 0.000 0.500 0.500
Pd 0.319 0.819 0.500
Pd 0.330 0.500 0.830
Pd 0.670 0.500 0.170
Pd 0.681 0.181 0.500

Output
- D(E_F): 15.787 states/eV/cell
- Symmetry: Immm (71)
- Calculated formation energy: 0.04 eV per atom
- Offset from the most stable computed form: 0.0 meV per atom

=====

Hf2Tl2Zn | GGA-PBE | relaxed

Lattice parameters (Å, degrees): 7.178 7.178 4.499 90.00 90.00 90.00
Atoms (fractional coordinates):
Hf 0.153 0.347 0.000
Hf 0.347 0.847 0.000
Hf 0.653 0.153 0.000
Hf 0.847 0.653 0.000
Tl 0.157 0.657 0.500
Tl 0.343 0.157 0.500
Tl 0.657 0.843 0.500
Tl 0.843 0.343 0.500
Zn 0.000 0.000 0.000
Zn 0.500 0.500 0.000

Output
- D(E_F): 9.079 states/eV/cell
- Symmetry: P4/mbm (127)
- Calculated formation energy: 0.23 eV per atom
- Offset from the most stable computed form: 0.0 meV per atom

=====

KCr2Pt2 | GGA-PBE | relaxed

Lattice parameters (Å, degrees): 6.213 6.213 6.213 138.69 138.69 59.84
Atoms (fractional coordinates):
K 0.000 0.000 0.000
Cr 0.250 0.750 0.500
Cr 0.750 0.250 0.500
Pt 0.377 0.377 0.000
Pt 0.623 0.623 0.000

Output
- D(E_F): 7.191 states/eV/cell
- Symmetry: I4/mmm (139)
- Calculated formation energy: 0.24 eV per atom

=====

Ac2LaAgO5 | GGA-PBE | relaxed

Lattice parameters (Å, degrees): 6.979 6.979 6.230 90.00 90.00 90.00
Atoms (fractional coordinates):
Ac 0.164 0.336 0.000
Ac 0.336 0.836 0.000
Ac 0.664 0.164 0.000
Ac 0.836 0.664 0.000
La 0.000 0.000 0.500
La 0.500 0.500 0.500
Ag 0.000 0.500 0.500
Ag 0.500 0.000 0.500
O 0.000 0.000 0.000
O 0.176 0.676 0.270
O 0.176 0.676 0.730
O 0.324 0.176 0.270
O 0.324 0.176 0.730
O 0.500 0.500 0.000
O 0.676 0.824 0.270
O 0.676 0.824 0.730
O 0.824 0.324 0.270
O 0.824 0.324 0.730

Output
- E_form (uncorrected): -2406 meV/atom
- Symmetry: P4/mbm (127)

=====

What is the formula in the third record?
Ni4Pd5